# Li2SnHRu

A geometry-optimized Li2SnHRu structure (PBE, Alexandria).

## Properties
**Magnetic moment**: 0.0 μB per cell
**N(E_F)**: 3.394 states/eV per cell
**Final energy**: -4.3064 eV per atom
**SG**: No. 123
**ρ**: 6.34 Mg/m³

Cell lengths 4.012, 4.012, 3.816 Å; angles 90.00, 90.00, 90.00 degrees
Positions (direct):
Li: 0.000 0.500 0.000
Li: 0.500 0.000 0.000
Sn: 0.000 0.000 0.500
H: 0.500 0.500 0.000
Ru: 0.500 0.500 0.500